A geometry-optimized Te3RuPb structure. Source: the Alexandria database, functional GGA-PBE.

```
Te3RuPb
1.0
-0.793 -1.369 -5.560
5.419 -1.993 -0.283
-1.850 -5.251 1.556
Te Ru Pb
3 1 1
direct
0.500 0.000 0.000
0.000 0.000 0.500
0.000 0.500 0.000
0.500 0.500 0.500
0.000 0.000 0.000
```

Results
* DFT total energy: -3.05 eV per atom
* energy relative to the elements, uncorrected: 7.18 eV/f.u.

---

A geometry-optimized UAgSn2 structure. Source: the Alexandria database, functional GGA-PBE.

```
UAgSn2
1.0
-4.144 -0.604 2.205
-0.841 -3.987 2.407
0.270 0.608 5.753
Ag Sn U
1 2 1
direct
0.000 0.000 0.000
0.269 0.269 0.194
0.731 0.731 0.806
0.500 0.500 0.500
```

Results
* DFT total energy: -5.38 eV per atom
* calculated formation energy: 0.16 eV/atom

---

A geometry-optimized HoMg4Pb3 structure. Source: the Alexandria database, functional GGA-PBE.

```
HoMg4Pb3
1.0
-5.353 -0.395 3.000
-1.578 -5.587 -2.604
5.442 -2.040 2.510
Mg Ho Pb
4 1 3
direct
0.828 0.904 0.450
0.341 0.207 0.001
0.304 0.704 0.016
0.333 0.159 0.485
0.825 0.487 0.029
0.836 0.983 0.961
0.335 0.652 0.528
0.848 0.404 0.529
```

Results
* DFT total energy: -2.90 eV per atom
* calculated formation energy: -0.14 eV/atom

---

A geometry-optimized La2Hf2Zr structure. Source: the Alexandria database, functional GGA-PBE.

```
La2Hf2Zr
1.0
9.030 0.000 0.000
0.000 9.030 0.000
0.000 0.000 3.399
Hf La Zr
4 4 2
direct
0.880 0.620 0.000
0.120 0.380 0.000
0.620 0.120 0.000
0.380 0.880 0.000
0.680 0.820 0.500
0.180 0.680 0.500
0.320 0.180 0.500
0.820 0.320 0.500
0.500 0.500 0.000
0.000 0.000 0.000
```

Results
* DFT total energy: -7.23 eV per atom
* calculated formation energy: 0.43 eV/atom

---

Look up the DFT total energy of the second one. -5.38 eV per atom

---

Repeat the first record exactly.
A geometry-optimized Te3RuPb structure. Source: the Alexandria database, functional GGA-PBE.

```
Te3RuPb
1.0
-0.793 -1.369 -5.560
5.419 -1.993 -0.283
-1.850 -5.251 1.556
Te Ru Pb
3 1 1
direct
0.500 0.000 0.000
0.000 0.000 0.500
0.000 0.500 0.000
0.500 0.500 0.500
0.000 0.000 0.000
```

Results
* DFT total energy: -3.05 eV per atom
* energy relative to the elements, uncorrected: 7.18 eV/f.u.

---

Which value of DFT total energy does entry 2 give? -5.38 eV per atom

---

Repeat the second record exactly.
A geometry-optimized UAgSn2 structure. Source: the Alexandria database, functional GGA-PBE.

```
UAgSn2
1.0
-4.144 -0.604 2.205
-0.841 -3.987 2.407
0.270 0.608 5.753
Ag Sn U
1 2 1
direct
0.000 0.000 0.000
0.269 0.269 0.194
0.731 0.731 0.806
0.500 0.500 0.500
```

Results
* DFT total energy: -5.38 eV per atom
* calculated formation energy: 0.16 eV/atom